A | The following is a GGA-PBE calculation of a relaxed YReAs2 crystal, from the Alexandria database.

It has space group C2/m (No. 12), with a = 6.9526 Å, b = 4.0285 Å, c = 6.1084 Å, α = 90.00°, β = 112.48° and γ = 90.00°. The asymmetric unit holds Y at (0.0000, 0.0000, 0.0000), Re at (0.0000, 0.5000, 0.5000) and As at (0.2322, 0.0000, 0.6967).

---

B | The following is a GGA-PBE calculation of a relaxed YReAs2 crystal, from the Alexandria database.

It has space group P2/m (No. 10), with a = 3.6363 Å, b = 4.2253 Å, c = 5.2088 Å, α = 90.00°, β = 90.63° and γ = 90.00°. The asymmetric unit holds Y at (0.0000, 0.0000, 0.0000), Re at (0.5000, 0.0000, 0.5000) and As at (0.4841, 0.5000, 0.7584).

---

Name the most stable of them. A.

---

A | The following is a GGA-PBE calculation of a relaxed YReAs3 crystal, from the Alexandria database.

It has space group Pm-3m (No. 221), with a = 5.1910 Å, b = 5.1910 Å, c = 5.1910 Å, α = 90.00°, β = 90.00° and γ = 90.00°. The asymmetric unit holds Y at (0.0000, 0.0000, 0.0000), Re at (0.5000, 0.5000, 0.5000) and As at (0.0000, 0.0000, 0.5000).

---

B | The following is a GGA-PBE calculation of a relaxed YReAs3 crystal, from the Alexandria database.

It has space group Pm-3m (No. 221), with a = 4.8740 Å, b = 4.8740 Å, c = 4.8740 Å, α = 90.00°, β = 90.00° and γ = 90.00°. The asymmetric unit holds Y at (0.0000, 0.0000, 0.0000), Re at (0.5000, 0.5000, 0.5000) and As at (0.0000, 0.5000, 0.5000).

---

Name the most stable of them. B.

---

A | The following is a GGA-PBE calculation of a relaxed ZnReAs3 crystal, from the Alexandria database.

It has space group Pm-3m (No. 221), with a = 4.7074 Å, b = 4.7074 Å, c = 4.7074 Å, α = 90.00°, β = 90.00° and γ = 90.00°. The asymmetric unit holds Zn at (0.0000, 0.0000, 0.0000), Re at (0.5000, 0.5000, 0.5000) and As at (0.0000, 0.0000, 0.5000).

---

B | The following is a GGA-PBE calculation of a relaxed ZnReAs3 crystal, from the Alexandria database.

It has space group Pm-3m (No. 221), with a = 4.8604 Å, b = 4.8604 Å, c = 4.8604 Å, α = 90.00°, β = 90.00° and γ = 90.00°. The asymmetric unit holds Zn at (0.0000, 0.0000, 0.0000), Re at (0.5000, 0.5000, 0.5000) and As at (0.0000, 0.5000, 0.5000).

---

Name the most stable of them. B.

---

A | The following is a GGA-PBE calculation of a relaxed ZrReAs crystal, from the Alexandria database.

It has space group Cm (No. 8), with a = 9.9844 Å, b = 3.3704 Å, c = 6.4437 Å, α = 90.00°, β = 101.54° and γ = 90.00°. The asymmetric unit holds Zr at (0.0000, 0.0000, 0.0000), Zr at (0.2441, 0.5000, 0.3377), Re at (0.1599, 0.5000, 0.7470), Re at (0.3755, 0.0000, 0.6631), As at (0.0299, 0.0000, 0.4653) and As at (0.2864, 0.0000, 0.0202).

---

B | The following is a GGA-PBE calculation of a relaxed ZrReAs crystal, from the Alexandria database.

It has space group Cm (No. 8), with a = 10.1768 Å, b = 4.1962 Å, c = 5.4179 Å, α = 90.00°, β = 105.39° and γ = 90.00°. The asymmetric unit holds Zr at (0.0000, 0.0000, 0.0000), Zr at (0.1069, 0.5000, 0.5580), Re at (0.3287, 0.0000, 0.1610), Re at (0.4034, 0.5000, 0.4563), As at (0.1809, 0.5000, 0.0933) and As at (0.3394, 0.0000, 0.6997).

---

Name the most stable of them. A.

---

A | The following is a GGA-PBE calculation of a relaxed ZrReAs crystal, from the Alexandria database.

It has space group Imm2 (No. 44), with a = 4.2470 Å, b = 6.8626 Å, c = 7.5081 Å, α = 90.00°, β = 90.00° and γ = 90.00°. The asymmetric unit holds Zr at (0.0000, 0.0000, 0.0000), Zr at (0.0000, 0.5000, 0.1010), Re at (0.0000, 0.1751, 0.3732) and As at (0.0000, 0.2602, 0.7033).

---

B | The following is a GGA-PBE calculation of a relaxed ZrReAs crystal, from the Alexandria database.

It has space group I4mm (No. 107), with a = 3.1851 Å, b = 3.1851 Å, c = 10.3697 Å, α = 90.00°, β = 90.00° and γ = 90.00°. The asymmetric unit holds Zr at (0.0000, 0.0000, 0.0000), Re at (0.0000, 0.0000, 0.3220) and As at (0.0000, 0.0000, 0.7002).

---

C | The following is a GGA-PBE calculation of a relaxed ZrReAs crystal, from the Alexandria database.

It has space group P-1 (No. 2), with a = 4.1497 Å, b = 5.2436 Å, c = 5.7608 Å, α = 74.73°, β = 69.32° and γ = 66.89°. The asymmetric unit holds Zr at (0.0618, 0.1983, 0.1757), Re at (0.3538, 0.2370, 0.5623) and As at (0.3211, 0.6374, 0.2101).

---

D | The following is a GGA-PBE calculation of a relaxed ZrReAs crystal, from the Alexandria database.

It has space group P3m1 (No. 156), with a = 4.3610 Å, b = 4.3610 Å, c = 3.2185 Å, α = 90.00°, β = 90.00° and γ = 120.00°. The asymmetric unit holds Zr at (0.0000, 0.0000, 0.0000), Re at (0.3333, 0.6667, 0.4744) and As at (0.6667, 0.3333, 0.4801).

---

Name the most stable of them. C.

---

A | The following is a GGA-PBE calculation of a relaxed ZrReAs crystal, from the Alexandria database.

It has space group C2/m (No. 12), with a = 5.5044 Å, b = 5.4753 Å, c = 6.9915 Å, α = 90.00°, β = 90.61° and γ = 90.00°. The asymmetric unit holds Zr at (0.2504, 0.0000, 0.1672), Re at (0.0000, 0.2707, 0.5000) and As at (0.2410, 0.0000, 0.7681).

---

B | The following is a GGA-PBE calculation of a relaxed ZrReAs crystal, from the Alexandria database.

It has space group Amm2 (No. 38), with a = 3.2016 Å, b = 3.2771 Å, c = 10.3244 Å, α = 90.00°, β = 90.00° and γ = 90.00°. The asymmetric unit holds Zr at (0.0000, 0.0000, 0.0000), Re at (0.5000, 0.0000, 0.3225) and As at (0.0000, 0.0000, 0.7100).

---

Name the most stable of them. A.

---

A | The following is a GGA-PBE calculation of a relaxed ZrReAs crystal, from the Alexandria database.

It has space group C2/m (No. 12), with a = 10.0553 Å, b = 3.2785 Å, c = 7.0622 Å, α = 90.00°, β = 111.04° and γ = 90.00°. The asymmetric unit holds Zr at (0.1247, 0.0000, 0.2728), Re at (0.1285, 0.5000, 0.9406) and As at (0.1417, 0.0000, 0.6773).

---

B | The following is a GGA-PBE calculation of a relaxed ZrReAs crystal, from the Alexandria database.

It has space group F-43m (No. 216), with a = 6.2093 Å, b = 6.2093 Å, c = 6.2093 Å, α = 90.00°, β = 90.00° and γ = 90.00°. The asymmetric unit holds Zr at (0.0000, 0.0000, 0.0000), Re at (0.2500, 0.2500, 0.2500) and As at (0.0000, 0.0000, 0.5000).

---

C | The following is a GGA-PBE calculation of a relaxed ZrReAs crystal, from the Alexandria database.

It has space group C2/m (No. 12), with a = 8.4508 Å, b = 5.2853 Å, c = 5.1184 Å, α = 90.00°, β = 109.73° and γ = 90.00°. The asymmetric unit holds Zr at (0.1860, 0.0000, 0.1299), Re at (0.0000, 0.2376, 0.5000) and As at (0.1850, 0.5000, 0.2814).

---

Name the most stable of them. A.

---

A | The following is a GGA-PBE calculation of a relaxed ZrReAs crystal, from the Alexandria database.

It has space group Pmmn (No. 59, origin choice 2), with a = 3.1961 Å, b = 4.5774 Å, c = 7.2007 Å, α = 90.00°, β = 90.00° and γ = 90.00°. The asymmetric unit holds Zr at (0.2500, 0.2500, 0.1767), Re at (0.2500, 0.7500, 0.4713) and As at (0.2500, 0.2500, 0.7945).

---

B | The following is a GGA-PBE calculation of a relaxed ZrReAs crystal, from the Alexandria database.

It has space group Fmm2 (No. 42), with a = 3.3897 Å, b = 5.0579 Å, c = 12.4194 Å, α = 90.00°, β = 90.00° and γ = 90.00°. The asymmetric unit holds Zr at (0.0000, 0.0000, 0.0000), Re at (0.0000, 0.0000, 0.6795) and As at (0.0000, 0.0000, 0.3293).

---

C | The following is a GGA-PBE calculation of a relaxed ZrReAs crystal, from the Alexandria database.

It has space group F-43m (No. 216), with a = 6.3179 Å, b = 6.3179 Å, c = 6.3179 Å, α = 90.00°, β = 90.00° and γ = 90.00°. The asymmetric unit holds Zr at (0.0000, 0.0000, 0.0000), Re at (0.2500, 0.2500, 0.7500) and As at (0.2500, 0.2500, 0.2500).

---

Name the most stable of them. A.

---

A | The following is a GGA-PBE calculation of a relaxed ZrReAs crystal, from the Alexandria database.

It has space group Ima2 (No. 46), with a = 3.9717 Å, b = 8.8175 Å, c = 6.5682 Å, α = 90.00°, β = 90.00° and γ = 90.00°. The asymmetric unit holds Zr at (0.2500, 0.1713, 0.0000), Re at (0.2500, 0.5768, 0.1704) and As at (0.2500, 0.6472, 0.7994).

---

B | The following is a GGA-PBE calculation of a relaxed ZrReAs crystal, from the Alexandria database.

It has space group I4/mmm (No. 139), with a = 4.0557 Å, b = 4.0557 Å, c = 13.0925 Å, α = 90.00°, β = 90.00° and γ = 90.00°. The asymmetric unit holds Zr at (0.0000, 0.0000, 0.1549), Re at (0.0000, 0.5000, 0.0000) and As at (0.0000, 0.0000, 0.3708).

---

C | The following is a GGA-PBE calculation of a relaxed ZrReAs crystal, from the Alexandria database.

It has space group Cmcm (No. 63), with a = 3.9798 Å, b = 9.8978 Å, c = 5.2798 Å, α = 90.00°, β = 90.00° and γ = 90.00°. The asymmetric unit holds Zr at (0.0000, 0.2026, 0.2500), Re at (0.0000, 0.5000, 0.0000) and As at (0.0000, 0.1039, 0.7500).

---

Name the most stable of them. C.

---

A | The following is a GGA-PBE calculation of a relaxed ZrReAs3 crystal, from the Alexandria database.

It has space group Pm-3m (No. 221), with a = 5.1369 Å, b = 5.1369 Å, c = 5.1369 Å, α = 90.00°, β = 90.00° and γ = 90.00°. The asymmetric unit holds Zr at (0.0000, 0.0000, 0.0000), Re at (0.5000, 0.5000, 0.5000) and As at (0.0000, 0.0000, 0.5000).

---

B | The following is a GGA-PBE calculation of a relaxed ZrReAs3 crystal, from the Alexandria database.

It has space group Pm-3m (No. 221), with a = 4.8254 Å, b = 4.8254 Å, c = 4.8254 Å, α = 90.00°, β = 90.00° and γ = 90.00°. The asymmetric unit holds Zr at (0.0000, 0.0000, 0.0000), Re at (0.5000, 0.5000, 0.5000) and As at (0.0000, 0.5000, 0.5000).

---

Name the most stable of them. B.